[1]
PBE Pa2CdNi, relaxed; crystal system = trigonal; distance to the lowest polymorph of the same formula = 29.7 kJ per mole of atoms
1.0
1.5920 0.9191 10.7473
-1.5920 0.9191 10.7473
0.0000 -1.8382 10.7473
Pa Cd Ni
2 1 1
Direct
0.1028 0.1028 0.1028
0.8972 0.8972 0.8972
0.0000 0.0000 0.0000
0.5000 0.5000 0.5000

---

[2]
PBE LaMn3Hg, relaxed; crystal system = cubic; distance to the lowest polymorph of the same formula = 0.0 kJ per mole of atoms
1.0
4.7847 0.0000 0.0000
0.0000 4.7847 0.0000
0.0000 0.0000 4.7847
La Mn Hg
1 3 1
Direct
0.0000 0.0000 0.0000
0.0000 0.0000 0.5000
0.0000 0.5000 0.0000
0.5000 0.0000 0.0000
0.5000 0.5000 0.5000

---

[3]
PBE NaLiScPb, relaxed; crystal system = cubic; VASP energy = -3.462 eV/atom
1.0
0.0000 3.5777 3.5777
3.5777 0.0000 3.5777
3.5777 3.5777 0.0000
Na Li Sc Pb
1 1 1 1
Direct
0.0000 0.0000 0.0000
0.2500 0.2500 0.2500
0.7500 0.7500 0.7500
0.5000 0.5000 0.5000

---

[4]
PBE SrZnAu3, relaxed; crystal system = orthorhombic; distance to the lowest polymorph of the same formula = 0.0 kJ per mole of atoms
1.0
0.0000 3.3219 5.2134
3.3093 0.0000 5.2134
3.3093 3.3219 0.0000
Sr Zn Au
1 1 3
Direct
0.0000 0.0000 0.0000
0.6375 0.6375 0.3625
0.2441 0.2441 0.2559
0.3982 0.3982 0.6018
0.7441 0.7441 0.7559

---

[5]
PBE LaDySn2, relaxed; crystal system = tetragonal; VASP energy = -5.063 eV/atom
1.0
3.5299 0.0000 0.0000
0.0000 3.5299 0.0000
0.0000 0.0000 9.0271
La Dy Sn
1 1 2
Direct
0.0000 0.0000 0.0000
0.0000 0.0000 0.5000
0.5000 0.5000 0.2618
0.5000 0.5000 0.7382

---

[6]
PBE ZrNbTe2Pb, relaxed; crystal system = tetragonal; VASP energy = -4.317 eV/atom
1.0
5.7352 0.0000 0.0000
0.0000 5.7352 0.0000
0.0000 0.0000 5.3101
Zr Nb Te Pb
1 1 2 1
Direct
0.0000 0.0000 0.0000
0.5000 0.5000 0.0000
0.0000 0.5000 0.5000
0.5000 0.0000 0.5000
0.5000 0.5000 0.5000

---

[7]
PBE MgNiMoOs, relaxed; crystal system = cubic; VASP energy = -7.287 eV/atom
1.0
0.0000 3.0672 3.0672
3.0672 0.0000 3.0672
3.0672 3.0672 0.0000
Mg Ni Mo Os
1 1 1 1
Direct
0.0000 0.0000 0.0000
0.7500 0.7500 0.7500
0.5000 0.5000 0.5000
0.2500 0.2500 0.2500

---

[8]
PBE LiCoPb, relaxed; crystal system = trigonal; VASP energy = -3.982 eV/atom
1.0
4.4451 0.0000 0.0000
-2.2225 3.8495 0.0000
0.0000 0.0000 3.0352
Li Co Pb
1 1 1
Direct
0.0000 0.0000 0.0000
0.3333 0.6667 0.6545
0.6667 0.3333 0.3870

---

no.,total magnetization (μB/f.u.)
1,0.00
2,8.60
3,0.00
4,0.00
5,0.00
6,1.19
7,0.00
8,1.32